(1)
5
Lattice="4.476 0.000 0.000 0.000 4.476 0.000 0.000 0.000 4.476" Properties=species:S:1:pos:R:3 comment="FeRu3Pb (PBE, optimized geometry)" density_g_cm3=10.488 e_form_ev_per_atom=1.150 final_energy_ev_per_cell=-34.250 pbc="T T T"
Fe 0.000 0.000 0.000
Ru 0.000 0.000 2.238
Ru 0.000 2.238 0.000
Ru 2.238 0.000 0.000
Pb 2.238 2.238 2.238

---

(2)
6
Lattice="5.577 0.000 0.000 -2.788 4.830 0.000 0.000 0.000 5.050" Properties=species:S:1:pos:R:3 comment="Sc5Zn (PBE, optimized geometry)" density_g_cm3=3.543 e_form_ev_per_atom=-0.009 final_energy_ev_per_cell=-32.984 pbc="T T T"
Sc -1.909 3.306 0.000
Sc 0.880 1.524 0.000
Sc 0.000 3.220 2.525
Sc 2.788 1.610 2.525
Sc 3.817 0.000 0.000
Zn 0.000 0.000 2.525

---

(3)
5
Lattice="4.853 0.000 0.000 0.000 4.853 0.000 0.000 0.000 4.759" Properties=species:S:1:pos:R:3 comment="MnNbP2Cl (PBE, optimized geometry)" density_g_cm3=3.634 final_energy_ev_per_cell=-27.632 formation_energy_uncorrected_mev_per_atom=855 pbc="T T T"
Mn 0.000 0.000 0.000
Nb 2.426 2.426 2.380
P 0.000 2.426 2.380
P 2.426 0.000 2.380
Cl 2.426 2.426 0.000